Entry 1:
{
  "formula": "Li2CaSi2",
  "functional": "PBE",
  "state": "relaxed",
  "lattice_angstrom": [[-4.133, 0.185, -0.070], [-0.149, -3.869, -1.460], [-2.321, -3.843, 4.558]],
  "species": ["Ca", "Si", "Si", "Li", "Li"],
  "fractional_positions": [[0.000, 0.000, 0.000], [0.400, 0.400, 0.200], [0.600, 0.600, 0.800], [0.750, 0.250, 0.500], [0.250, 0.750, 0.500]],
  "magmom_total_mub_per_atom": 0.000
}

Entry 2:
{
  "formula": "LiCaSi2",
  "functional": "PBE",
  "state": "relaxed",
  "lattice_angstrom": [[-2.999, 3.508, 2.381], [-4.118, -2.382, 2.081], [5.089, -0.983, 0.316]],
  "species": ["Ca", "Li", "Si", "Si"],
  "fractional_positions": [[0.500, 0.500, 0.000], [0.750, 0.250, 0.500], [0.000, 0.000, 0.000], [0.250, 0.750, 0.500]],
  "magmom_total_mub_per_atom": 0.000
}

Entry 3:
{
  "formula": "LiCaSi2",
  "functional": "PBE",
  "state": "relaxed",
  "lattice_angstrom": [[4.634, -0.008, 0.022], [3.053, 3.485, 0.022], [1.801, 0.815, 5.076]],
  "species": ["Ca", "Li", "Si", "Si"],
  "fractional_positions": [[0.750, 0.750, 0.750], [0.250, 0.250, 0.250], [0.984, 0.984, 0.125], [0.516, 0.516, 0.375]],
  "magmom_total_mub_per_atom": 0.000
}

Values for polymorph energy (0 for the lowest one), meV per atom, ordered as above
0, 398, 121
Values for energy relative to the elements, uncorrected, eV/atom, ordered as above
-0.325, -0.010, -0.287